1.
PBE-GGA Tb6Nd8In, relaxed; N(E_F) = 21.26 states/eV/cell; VASP energy = -67.6 eV per cell; SG = P-3
1.0
-0.3168 6.6004 -0.3195
-5.4771 -0.6292 -7.5684
-3.8270 0.2298 8.5427
Tb Nd In
6 8 1
Direct
0.3370 0.3486 0.9037
0.3370 0.5551 0.6514
0.6630 0.4449 0.3486
0.6630 0.9037 0.5551
0.6630 0.6514 0.0963
0.3370 0.0963 0.4449
0.1368 0.6667 0.3333
0.1784 0.2726 0.2314
0.8216 0.7274 0.7686
0.8216 0.2314 0.9587
0.8632 0.3333 0.6667
0.1784 0.7686 0.0413
0.1784 0.9587 0.7274
0.8216 0.0413 0.2726
0.5000 0.0000 0.0000

=====

2.
PBE-GGA Li2LaPd, relaxed; N(E_F) = 3.84 states/eV/cell; VASP energy = -30.0 eV per cell; SG = I-42d
1.0
4.1289 0.0000 0.0000
0.0000 4.1289 0.0000
2.0644 2.0644 10.6368
Pd Li La
2 4 2
Direct
0.2500 0.7500 0.5000
0.5000 0.5000 0.0000
0.5536 0.6250 0.2500
0.1964 0.1250 0.2500
0.8750 0.4464 0.7500
0.3750 0.8036 0.7500
0.7500 0.2500 0.5000
0.0000 0.0000 0.0000

=====

Among the records above, which one has the lowest N(E_F)? Li2LaPd